First-principles (PBE with a Hubbard U) data for a relaxed structure of LiFeF4, as listed in Alexandria.

abc: 7.1256 5.5707 10.4088
angles: 73.55 90.00 90.00
Closest atoms and distances in Å follow each position.
Fractional positions:
F 0.4200 0.3910 0.2726  1 Fe 1.85, 1 Li 1.86
F 0.3356 0.3798 0.9812  1 Fe 1.91, 2 Li 1.91-1.95
F 0.1494 0.9502 0.3908  1 Fe 1.84, 1 Li 1.84
F 0.6494 0.0498 0.1092  1 Fe 1.84, 1 Li 1.84
F 0.5374 0.9172 0.4058  2 Fe 1.94-2.05
F 0.0374 0.0828 0.0942  2 Fe 1.94-2.05
F 0.3506 0.9502 0.8908  1 Fe 1.84, 1 Li 1.84
F 0.9200 0.6090 0.2274  1 Fe 1.85, 1 Li 1.86
F 0.8506 0.0498 0.6092  1 Fe 1.84, 1 Li 1.84
F 0.1644 0.3798 0.4812  1 Fe 1.91, 2 Li 1.91-1.95
F 0.8356 0.6202 0.5188  1 Fe 1.91, 2 Li 1.91-1.95
F 0.9626 0.9172 0.9058  2 Fe 1.94-2.05
F 0.5800 0.6090 0.7274  1 Fe 1.85, 1 Li 1.86
F 0.6644 0.6202 0.0188  1 Fe 1.91, 2 Li 1.91-1.95
F 0.4626 0.0828 0.5942  2 Fe 1.94-2.05
F 0.0800 0.3910 0.7726  1 Fe 1.85, 1 Li 1.86
Li 0.4741 0.6655 0.8799  4 F 1.84-1.95
Li 0.9741 0.3345 0.6201  4 F 1.84-1.95
Li 0.0259 0.6655 0.3799  4 F 1.84-1.95
Li 0.5259 0.3345 0.1201  4 F 1.84-1.95
Fe 0.1701 0.1603 0.9249  5 F 1.84-2.05
Fe 0.6701 0.8397 0.5751  5 F 1.84-2.05
Fe 0.3299 0.1603 0.4249  5 F 1.84-2.05
Fe 0.8299 0.8397 0.0751  5 F 1.84-2.05

Polymorph energy (0 for the lowest one) ... 0.0744 eV per atom
Crystal system ... monoclinic
Theoretical density ... 2.3 Mg/m³
Total magnetization ... 5.00 μB/f.u.
Space group ... P2_1/c